Version i
VASP calculation (PBEsol) on crystalline Mg5Hg at its relaxed geometry.

Lattice parameters (Å, degrees): 5.0165 8.1558 8.1558 22.80 90.00 90.00
Last column: nearest neighbours and their distance in Å.
Fractional positions:
Mg: 0.0000 0.0000 0.0000  2 Hg 3.03, 10 Mg 3.08-3.24
Mg: 0.0000 0.3242 0.3242  2 Hg 3.07, 10 Mg 3.09-3.24
Mg: 0.5000 0.2113 0.2113  8 Mg 3.07-3.22, 4 Hg 3.09
Mg: 0.5000 0.5482 0.5482  10 Mg 3.07-3.22, 2 Hg 3.09
Mg: 0.5000 0.8822 0.8822  12 Mg 3.11-3.22
Hg: 0.0000 0.6608 0.6608  10 Mg 3.03-3.09, 2 Hg 3.22

Results
Total magnetic moment = 0.0 μB per formula unit
N(E_F) = 2.24 states/eV per cell
Space group = Amm2 (38)


Version ii
VASP calculation (PBEsol) on crystalline Mg5Hg at its relaxed geometry.

Lattice parameters (Å, degrees): 3.2226 3.2226 12.7366 90.00 90.00 90.00
Last column: nearest neighbours and their distance in Å.
Fractional positions:
Mg: 0.0000 0.0000 0.0000  12 Mg 3.18-3.22
Mg: 0.0000 0.0000 0.3500  4 Hg 2.97, 8 Mg 3.20-3.22
Mg: 0.0000 0.0000 0.6500  4 Hg 2.97, 8 Mg 3.20-3.22
Mg: 0.5000 0.5000 0.1741  12 Mg 3.18-3.22
Mg: 0.5000 0.5000 0.8259  12 Mg 3.18-3.22
Hg: 0.5000 0.5000 0.5000  8 Mg 2.97, 4 Hg 3.22

Results
Total magnetic moment = 0.0 μB per formula unit
N(E_F) = 2.82 states/eV per cell
Space group = P4/mmm (123)


Version iii
VASP calculation (PBEsol) on crystalline Mg5Hg at its relaxed geometry.

Lattice parameters (Å, degrees): 5.9602 5.9602 5.9602 53.88 53.88 53.88
Last column: nearest neighbours and their distance in Å.
Fractional positions:
Mg: 0.0000 0.6613 0.3387  10 Mg 3.09-3.17, 2 Hg 3.10
Mg: 0.1666 0.1666 0.1666  9 Mg 3.11-3.13, 3 Hg 3.12
Mg: 0.3387 0.0000 0.6613  10 Mg 3.09-3.17, 2 Hg 3.10
Mg: 0.6613 0.3387 0.0000  10 Mg 3.09-3.17, 2 Hg 3.10
Mg: 0.8334 0.8334 0.8334  9 Mg 3.11-3.13, 3 Hg 3.12
Hg: 0.5000 0.5000 0.5000  12 Mg 3.10-3.12

Results
Total magnetic moment = 0.0 μB per formula unit
N(E_F) = 2.07 states/eV per cell
Space group = R32 (155)


Name the least stable of them. version ii.


Version i
VASP calculation (PBEsol) on crystalline Mg5Hg at its relaxed geometry.

Lattice parameters (Å, degrees): 5.9405 5.9405 7.3227 104.94 104.94 31.42
Last column: nearest neighbours and their distance in Å.
Fractional positions:
Mg: 0.0000 0.0000 0.0000  10 Mg 3.03-3.22, 2 Hg 3.13
Mg: 0.0414 0.0414 0.6087  9 Mg 3.03-3.22, 3 Hg 3.04-3.20
Mg: 0.3848 0.3848 0.2727  11 Mg 3.08-3.22, 1 Hg 3.13
Mg: 0.6699 0.6699 0.3489  2 Hg 3.01, 10 Mg 3.11-3.26
Mg: 0.7217 0.7217 0.9319  2 Hg 3.02, 10 Mg 3.09-3.26
Hg: 0.3286 0.3286 0.6675  10 Mg 3.01-3.20, 2 Hg 3.22

Results
Total magnetic moment = 0.0 μB per formula unit
N(E_F) = 2.11 states/eV per cell
Space group = Cm (8)


Version ii
VASP calculation (PBEsol) on crystalline Mg5Hg at its relaxed geometry.

Lattice parameters (Å, degrees): 6.9379 6.9379 4.3963 90.00 90.00 142.68
Last column: nearest neighbours and their distance in Å.
Fractional positions:
Mg: 0.0000 0.0000 0.0000  8 Mg 3.06-3.10, 4 Hg 3.12
Mg: 0.1619 0.8381 0.5000  10 Mg 3.06-3.21, 2 Hg 3.08
Mg: 0.3354 0.6646 0.0000  2 Hg 3.08, 10 Mg 3.10-3.17
Mg: 0.6646 0.3354 0.0000  2 Hg 3.08, 10 Mg 3.10-3.17
Mg: 0.8381 0.1619 0.5000  10 Mg 3.06-3.21, 2 Hg 3.08
Hg: 0.5000 0.5000 0.5000  12 Mg 3.08-3.12

Results
Total magnetic moment = 0.0 μB per formula unit
N(E_F) = 2.24 states/eV per cell
Space group = Cmmm (65)


Name the least stable of them. version i.


Version i
VASP calculation (PBEsol) on crystalline Mg5Hg4 at its relaxed geometry.

Lattice parameters (Å, degrees): 6.8091 6.8091 6.8091 96.26 96.26 141.43
Last column: nearest neighbours and their distance in Å.
Fractional positions:
Mg: 0.0000 0.0000 0.0000  4 Hg 2.90, 8 Mg 3.14
Mg: 0.3289 0.3289 0.6579  6 Hg 2.99-3.05, 6 Mg 3.03-3.14
Mg: 0.3289 0.6711 0.0000  6 Hg 2.99-3.05, 6 Mg 3.03-3.14
Mg: 0.6711 0.3289 0.0000  6 Hg 2.99-3.05, 6 Mg 3.03-3.14
Mg: 0.6711 0.6711 0.3421  6 Hg 2.99-3.05, 6 Mg 3.03-3.14
Hg: 0.0000 0.3194 0.3194  7 Mg 2.90-3.05, 4 Hg 3.23
Hg: 0.0000 0.6806 0.6806  7 Mg 2.90-3.05, 4 Hg 3.23
Hg: 0.3194 0.0000 0.3194  7 Mg 2.90-3.05, 4 Hg 3.23
Hg: 0.6806 0.0000 0.6806  7 Mg 2.90-3.05, 4 Hg 3.23

Results
Total magnetic moment = 0.0 μB per formula unit
N(E_F) = 2.94 states/eV per cell
Space group = I4/mmm (139)


Version ii
VASP calculation (PBEsol) on crystalline Mg5Hg4 at its relaxed geometry.

Lattice parameters (Å, degrees): 8.4598 8.4598 6.0483 90.00 90.00 120.00
Last column: nearest neighbours and their distance in Å.
Fractional positions:
Mg: 0.0000 0.2945 0.2500  7 Hg 2.81-3.10
Mg: 0.0000 0.7055 0.7500  7 Hg 2.81-3.10
Mg: 0.2945 0.0000 0.2500  7 Hg 2.81-3.10
Mg: 0.2945 0.2945 0.7500  7 Hg 2.81-3.10
Mg: 0.3333 0.6667 0.0000  8 Mg 3.02-3.36, 6 Hg 3.06
Mg: 0.3333 0.6667 0.5000  8 Mg 3.02-3.36, 6 Hg 3.06
Mg: 0.6667 0.3333 0.0000  8 Mg 3.02-3.36, 6 Hg 3.06
Mg: 0.6667 0.3333 0.5000  8 Mg 3.02-3.36, 6 Hg 3.06
Mg: 0.7055 0.0000 0.7500  7 Hg 2.81-3.10
Mg: 0.7055 0.7055 0.2500  7 Hg 2.81-3.10
Hg: 0.0000 0.0000 0.0000  6 Mg 2.91, 2 Hg 3.02
Hg: 0.0000 0.0000 0.5000  6 Mg 2.91, 2 Hg 3.02
Hg: 0.0000 0.3738 0.7500  9 Mg 2.81-3.10
Hg: 0.0000 0.6262 0.2500  9 Mg 2.81-3.10
Hg: 0.3738 0.0000 0.7500  9 Mg 2.81-3.10
Hg: 0.3738 0.3738 0.2500  9 Mg 2.81-3.10
Hg: 0.6262 0.0000 0.2500  9 Mg 2.81-3.10
Hg: 0.6262 0.6262 0.7500  9 Mg 2.81-3.10

Results
Total magnetic moment = 0.0 μB per formula unit
N(E_F) = 6.88 states/eV per cell
Space group = P6_3/mcm (193)


Name the least stable of them. version i.


Version i
VASP calculation (PBEsol) on crystalline Mg5Hg3 at its relaxed geometry.

Lattice parameters (Å, degrees): 8.2380 8.2380 5.7995 90.00 90.00 120.00
Last column: nearest neighbours and their distance in Å.
Fractional positions:
Mg: 0.0000 0.2543 0.2500  5 Hg 2.81-3.10
Mg: 0.0000 0.7457 0.7500  5 Hg 2.81-3.10
Mg: 0.2543 0.0000 0.2500  5 Hg 2.81-3.10
Mg: 0.2543 0.2543 0.7500  5 Hg 2.81-3.10
Mg: 0.3333 0.6667 0.0000  2 Mg 2.90, 6 Hg 2.94
Mg: 0.3333 0.6667 0.5000  2 Mg 2.90, 6 Hg 2.94
Mg: 0.6667 0.3333 0.0000  2 Mg 2.90, 6 Hg 2.94
Mg: 0.6667 0.3333 0.5000  2 Mg 2.90, 6 Hg 2.94
Mg: 0.7457 0.0000 0.7500  5 Hg 2.81-3.10
Mg: 0.7457 0.7457 0.2500  5 Hg 2.81-3.10
Hg: 0.0000 0.3874 0.7500  9 Mg 2.81-3.10
Hg: 0.0000 0.6126 0.2500  9 Mg 2.81-3.10
Hg: 0.3874 0.0000 0.7500  9 Mg 2.81-3.10
Hg: 0.3874 0.3874 0.2500  9 Mg 2.81-3.10
Hg: 0.6126 0.0000 0.2500  9 Mg 2.81-3.10
Hg: 0.6126 0.6126 0.7500  9 Mg 2.81-3.10

Results
Total magnetic moment = 0.0 μB per formula unit
N(E_F) = 4.62 states/eV per cell
Space group = P6_3/mcm (193)


Version ii
VASP calculation (PBEsol) on crystalline Mg5Hg3 at its relaxed geometry.

Lattice parameters (Å, degrees): 6.0478 6.0478 4.6170 90.00 90.00 102.48
Last column: nearest neighbours and their distance in Å.
Fractional positions:
Mg: 0.0000 0.0000 0.0000  8 Mg 3.02-3.17, 4 Hg 3.04
Mg: 0.0000 0.5000 0.0000  6 Hg 3.01-3.02, 6 Mg 3.02-3.31
Mg: 0.2872 0.2872 0.5000  4 Hg 2.82-2.94
Mg: 0.5000 0.0000 0.0000  6 Hg 3.01-3.02, 6 Mg 3.02-3.31
Mg: 0.7128 0.7128 0.5000  4 Hg 2.82-2.94
Hg: 0.2099 0.7901 0.5000  10 Mg 2.94-3.18
Hg: 0.5000 0.5000 0.0000  8 Mg 2.82-3.02
Hg: 0.7901 0.2099 0.5000  10 Mg 2.94-3.18

Results
Total magnetic moment = 0.0 μB per formula unit
N(E_F) = 2.42 states/eV per cell
Space group = Cmmm (65)


Version iii
VASP calculation (PBEsol) on crystalline Mg5Hg3 at its relaxed geometry.

Lattice parameters (Å, degrees): 8.2115 8.2115 8.2115 97.01 97.01 139.10
Last column: nearest neighbours and their distance in Å.
Fractional positions:
Mg: 0.0781 0.7781 0.8562  4 Hg 2.88-2.93, 1 Mg 3.08
Mg: 0.2219 0.0781 0.3000  4 Hg 2.88-2.93, 1 Mg 3.08
Mg: 0.2500 0.7500 0.5000  2 Mg 2.87, 4 Hg 2.90
Mg: 0.2781 0.5781 0.8562  4 Hg 2.88-2.93, 1 Mg 3.08
Mg: 0.4219 0.2781 0.7000  4 Hg 2.88-2.93, 1 Mg 3.08
Mg: 0.5781 0.7219 0.3000  4 Hg 2.88-2.93, 1 Mg 3.08
Mg: 0.7219 0.4219 0.1438  4 Hg 2.88-2.93, 1 Mg 3.08
Mg: 0.7500 0.2500 0.5000  2 Mg 2.87, 4 Hg 2.90
Mg: 0.7781 0.9219 0.7000  4 Hg 2.88-2.93, 1 Mg 3.08
Mg: 0.9219 0.2219 0.1438  4 Hg 2.88-2.93, 1 Mg 3.08
Hg: 0.1635 0.3365 0.5000  6 Mg 2.88-2.91
Hg: 0.2500 0.2500 0.0000  2 Hg 2.87, 8 Mg 2.93
Hg: 0.3365 0.8365 0.1729  6 Mg 2.88-2.91
Hg: 0.6635 0.1635 0.8271  6 Mg 2.88-2.91
Hg: 0.7500 0.7500 0.0000  2 Hg 2.87, 8 Mg 2.93
Hg: 0.8365 0.6635 0.5000  6 Mg 2.88-2.91

Results
Total magnetic moment = 0.0 μB per formula unit
N(E_F) = 5.70 states/eV per cell
Space group = I4/mcm (140)


Name the least stable of them. version iii.


Version i
VASP calculation (PBEsol) on crystalline Mg3Hg2 at its relaxed geometry.

Lattice parameters (Å, degrees): 11.6683 11.6683 11.6683 16.29 16.29 16.29
Last column: nearest neighbours and their distance in Å.
Fractional positions:
Mg: 0.0000 0.0000 0.0000  6 Hg 2.95
Mg: 0.2034 0.2034 0.2034  3 Hg 2.94, 3 Mg 3.18
Mg: 0.7966 0.7966 0.7966  3 Hg 2.94, 3 Mg 3.18
Hg: 0.3983 0.3983 0.3983  6 Mg 2.94-2.95
Hg: 0.6017 0.6017 0.6017  6 Mg 2.94-2.95

Results
Total magnetic moment = 0.0 μB per formula unit
N(E_F) = 1.90 states/eV per cell
Space group = R-3m (166)


Version ii
VASP calculation (PBEsol) on crystalline Mg3Hg2 at its relaxed geometry.

Lattice parameters (Å, degrees): 4.7365 4.7365 5.7224 90.00 90.00 120.00
Last column: nearest neighbours and their distance in Å.
Fractional positions:
Mg: 0.0000 0.0000 0.0000  6 Hg 2.90
Mg: 0.3333 0.6667 0.3414  5 Hg 2.79-2.93
Mg: 0.6667 0.3333 0.6586  5 Hg 2.79-2.93
Hg: 0.3333 0.6667 0.8291  8 Mg 2.79-2.93
Hg: 0.6667 0.3333 0.1709  8 Mg 2.79-2.93

Results
Total magnetic moment = 0.0 μB per formula unit
N(E_F) = 1.42 states/eV per cell
Space group = P-3m1 (164)


Name the least stable of them. version i.


Version i
VASP calculation (PBEsol) on crystalline MgMn2Hg at its relaxed geometry.

Lattice parameters (Å, degrees): 4.9991 4.9991 4.9991 133.21 133.21 68.33
Last column: nearest neighbours and their distance in Å.
Fractional positions:
Mg: 0.0000 0.0000 0.0000  8 Mn 2.81-2.87, 4 Hg 2.87
Mn: 0.5000 0.5000 0.0000  4 Mg 2.81, 4 Hg 2.87, 4 Mn 2.87
Mn: 0.7500 0.2500 0.5000  4 Hg 2.81, 4 Mn 2.87, 4 Mg 2.87
Hg: 0.2500 0.7500 0.5000  8 Mn 2.81-2.87, 4 Mg 2.87

Results
Total magnetic moment = 7.0 μB per formula unit
N(E_F) = 4.43 states/eV per cell
Space group = I-4m2 (119)


Version ii
VASP calculation (PBEsol) on crystalline MgMn2Hg at its relaxed geometry.

Lattice parameters (Å, degrees): 3.9962 3.9962 3.9940 90.00 90.00 90.00
Last column: nearest neighbours and their distance in Å.
Fractional positions:
Mg: 0.0000 0.0000 0.0000  8 Mn 2.82, 4 Hg 2.83
Mn: 0.0000 0.5000 0.5000  4 Hg 2.82, 4 Mg 2.82, 4 Mn 2.83
Mn: 0.5000 0.0000 0.5000  4 Hg 2.82, 4 Mg 2.82, 4 Mn 2.83
Hg: 0.5000 0.5000 0.0000  8 Mn 2.82, 4 Mg 2.83

Results
Total magnetic moment = 6.5 μB per formula unit
N(E_F) = 3.65 states/eV per cell
Space group = P4/mmm (123)


Version iii
VASP calculation (PBEsol) on crystalline MgMn2Hg at its relaxed geometry.

Lattice parameters (Å, degrees): 3.3537 3.3537 5.8693 90.00 90.00 90.00
Last column: nearest neighbours and their distance in Å.
Fractional positions:
Mg: 0.0000 0.0000 0.0000  8 Mn 2.78, 2 Hg 2.93
Mn: 0.5000 0.5000 0.2476  4 Mg 2.78, 4 Hg 2.80, 2 Mn 2.91-2.96
Mn: 0.5000 0.5000 0.7524  4 Mg 2.78, 4 Hg 2.80, 2 Mn 2.91-2.96
Hg: 0.0000 0.0000 0.5000  8 Mn 2.80, 2 Mg 2.93

Results
Total magnetic moment = 6.9 μB per formula unit
N(E_F) = 3.50 states/eV per cell
Space group = P4/mmm (123)


Name the least stable of them. version iii.